! SrRe2Tc GGA-PBEsol relaxed; values from VASP
&SYSTEM
  ibrav = 0, nat = 4, ntyp = 3
/
ATOMIC_SPECIES
Re 186.21 Re.upf
Sr 87.62 Sr.upf
Tc 98.00 Tc.upf
CELL_PARAMETERS angstrom
-0.104 -0.834 -2.893
1.184 -4.033 2.689
-5.733 0.092 0.179
ATOMIC_POSITIONS crystal
Re 0.785 0.569 0.849
Re 0.215 0.431 0.151
Sr 0.000 0.000 0.500
Tc 0.500 0.000 0.000
! **Uncorrected energy**: -9.128 eV per atom
! **Formation enthalpy at 0 K**: 815 meV/atom
! **Volume**: 19.92 Å³/atom
! **Energy relative to the lowest polymorph listed for this composition**: 0 meV per atom